Record 1
BaAcCu2O4: optimized geometry, GGA-PBE.

abc: 4.110 4.110 7.259
angles: 90.00 90.00 90.00
Sites, in units of the cell vectors:
Ba  0.000  0.000  0.500
Ac  0.000  0.000  0.000
Cu  0.500  0.500  0.231
Cu  0.500  0.500  0.769
O  0.000  0.500  0.229
O  0.500  0.000  0.771
O  0.500  0.000  0.229
O  0.000  0.500  0.771

Its density is 7.52 Mg/m³. As for the density of states at the Fermi level: 2.2 states/eV/f.u. As for the energy relative to the elements, uncorrected: -1904 meV/atom. Its volume is 15.326 A^3/atom. The calculation puts the magnetic moment at 0.00 μB/atom.

***

Record 2
BaAcCuO4: optimized geometry, GGA-PBE.

abc: 6.068 5.644 7.495
angles: 90.00 108.67 90.00
Last column: magnetic moment on the atom in μB.
Sites, in units of the cell vectors:
Ba  0.706  0.750  0.931  0.00
Ba  0.294  0.250  0.069  0.00
Ac  0.773  0.750  0.453  -0.01
Ac  0.227  0.250  0.547  -0.01
Cu  0.227  0.750  0.291  0.73
Cu  0.773  0.250  0.709  0.73
O  0.000  0.488  0.735  0.31
O  0.000  0.988  0.265  0.31
O  0.000  0.512  0.265  0.31
O  0.000  0.012  0.735  0.31
O  0.443  0.750  0.155  0.18
O  0.557  0.250  0.845  0.18
O  0.411  0.750  0.555  0.28
O  0.589  0.250  0.445  0.28

Its density is 6.72 Mg/m³. As for the density of states at the Fermi level: 2.1 states/eV/f.u. As for the energy relative to the elements, uncorrected: -2013 meV/atom. Its volume is 17.371 A^3/atom. The calculation puts the magnetic moment at 0.29 μB/atom.

***

Record 3
BaAcCu2O5: optimized geometry, GGA-PBE.

abc: 4.006 4.006 7.906
angles: 90.00 90.00 90.00
Last column: magnetic moment on the atom in μB.
Sites, in units of the cell vectors:
Ba  0.000  0.000  0.500  -0.01
Ac  0.000  0.000  0.000  0.00
Cu  0.500  0.500  0.250  0.27
Cu  0.500  0.500  0.750  0.27
O  0.000  0.500  0.208  0.08
O  0.500  0.000  0.208  0.08
O  0.000  0.500  0.792  0.08
O  0.500  0.000  0.792  0.08
O  0.500  0.500  0.500  0.18

Its density is 7.48 Mg/m³. As for the density of states at the Fermi level: 5.0 states/eV/f.u. As for the energy relative to the elements, uncorrected: -1795 meV/atom. Its volume is 14.098 A^3/atom. The calculation puts the magnetic moment at 0.12 μB/atom.

***

Record 4
BaAcCu4O6: optimized geometry, GGA-PBE.

abc: 5.321 5.321 7.547
angles: 90.00 90.00 120.00
Sites, in units of the cell vectors:
Ba  0.000  0.000  0.000
Ac  0.000  0.000  0.500
Cu  0.667  0.333  0.168
Cu  0.333  0.667  0.168
Cu  0.333  0.667  0.832
Cu  0.667  0.333  0.832
O  0.500  0.500  0.308
O  0.500  0.500  0.692
O  0.500  0.000  0.308
O  0.000  0.500  0.308
O  0.500  0.000  0.692
O  0.000  0.500  0.692

Its density is 6.41 Mg/m³. As for the density of states at the Fermi level: 8.7 states/eV/f.u. As for the energy relative to the elements, uncorrected: -716 meV/atom. Its volume is 15.417 A^3/atom. The calculation puts the magnetic moment at 0.00 μB/atom.

***

Record 5
BaAcCuPd: optimized geometry, GGA-PBE.

abc: 5.449 5.449 5.449
angles: 60.00 60.00 60.00
Sites, in units of the cell vectors:
Ac  0.000  0.000  0.000
Cu  0.250  0.250  0.250
Ba  0.500  0.500  0.500
Pd  0.750  0.750  0.750

Its density is 7.76 Mg/m³. As for the density of states at the Fermi level: 3.7 states/eV/f.u. Its formation enthalpy at 0 K is -0.26 eV per atom. Its volume is 28.595 A^3/atom. The calculation puts the magnetic moment at 0.00 μB/atom.

***

Record 6
BaAcCuPt: optimized geometry, GGA-PBE.

abc: 5.416 5.416 5.416
angles: 60.00 60.00 60.00
Sites, in units of the cell vectors:
Ac  0.500  0.500  0.500
Cu  0.250  0.250  0.250
Ba  0.000  0.000  0.000
Pt  0.750  0.750  0.750

Its density is 9.21 Mg/m³. As for the density of states at the Fermi level: 4.0 states/eV/f.u. Its formation enthalpy at 0 K is -0.40 eV per atom. Its volume is 28.077 A^3/atom. The calculation puts the magnetic moment at 0.00 μB/atom.